[1]
## Tm3GaSi2Ni9 (PBE)

Data for a relaxed Tm3GaSi2Ni9 crystal.

Summary:
For the theoretical density, the calculation gives 7.78 g cm⁻³. As for the raw formation energy: -309 meV/atom. The calculation puts the total moment at 0.00 μB per formula unit.

abc: 5.791 5.791 8.535
angles: 90.00 90.00 120.00
Fractional coordinates of all 15 atoms:
Tm 0.000 0.000 0.000
Tm 0.333 0.667 0.701
Tm 0.667 0.333 0.299
Ga 0.000 0.000 0.500
Si 0.333 0.667 0.176
Si 0.667 0.333 0.824
Ni 0.000 0.500 0.000
Ni 0.139 0.277 0.277
Ni 0.139 0.861 0.277
Ni 0.277 0.139 0.723
Ni 0.500 0.000 0.000
Ni 0.500 0.500 0.000
Ni 0.723 0.861 0.277
Ni 0.861 0.139 0.723
Ni 0.861 0.723 0.723

[2]
## Th2Be4Ge3Os (PBE)

Data for a relaxed Th2Be4Ge3Os crystal.

Summary:
The value obtained for the formation energy from the elements is -3.50 eV per formula unit. For the theoretical density, the calculation gives 9.39 g cm⁻³. The calculation puts the total moment at 0.00 μB per formula unit.

abc: 4.019 4.019 9.950
angles: 90.00 90.00 90.00
Fractional coordinates of all 10 atoms:
Th 0.000 0.500 0.247
Th 0.500 0.000 0.753
Be 0.000 0.000 0.500
Be 0.000 0.500 0.875
Be 0.500 0.000 0.125
Be 0.500 0.500 0.500
Ge 0.000 0.000 0.000
Ge 0.000 0.500 0.629
Ge 0.500 0.000 0.371
Os 0.500 0.500 0.000

[3]
## U2NiPdS5 (PBE)

Data for a relaxed U2NiPdS5 crystal.

Summary:
For the theoretical density, the calculation gives 8.32 g cm⁻³. As for the raw formation energy: -963 meV/atom. The calculation puts the total moment at 3.30 μB per formula unit.

abc: 8.625 8.625 10.147
angles: 90.00 90.00 154.93
Fractional coordinates of all 18 atoms:
U 0.095 0.905 0.500
U 0.135 0.865 0.902
U 0.865 0.135 0.402
U 0.905 0.095 0.000
Ni 0.420 0.580 0.727
Ni 0.580 0.420 0.227
Pd 0.196 0.804 0.194
Pd 0.804 0.196 0.694
S 0.011 0.989 0.277
S 0.276 0.724 0.539
S 0.316 0.684 0.868
S 0.357 0.643 0.205
S 0.468 0.532 0.518
S 0.532 0.468 0.018
S 0.643 0.357 0.705
S 0.684 0.316 0.368
S 0.724 0.276 0.039
S 0.989 0.011 0.777

[4]
## Sr2LaHf (PBE)

Data for a relaxed Sr2LaHf crystal.

Summary:
The value obtained for the formation energy from the elements is 3.38 eV per formula unit. For the theoretical density, the calculation gives 5.39 g cm⁻³. The calculation puts the distance to the lowest polymorph of the same formula at 202 meV per atom. The calculation puts the total moment at 0.02 μB per formula unit.

abc: 9.503 9.503 6.721
angles: 90.00 90.00 90.00
Fractional coordinates of all 16 atoms:
Sr 0.229 0.250 0.125
Sr 0.250 0.729 0.375
Sr 0.250 0.771 0.875
Sr 0.271 0.250 0.625
Sr 0.729 0.750 0.625
Sr 0.750 0.229 0.875
Sr 0.750 0.271 0.375
Sr 0.771 0.750 0.125
La 0.000 0.000 0.500
La 0.000 0.500 0.750
La 0.500 0.000 0.250
La 0.500 0.500 0.000
Hf 0.000 0.000 0.000
Hf 0.000 0.500 0.250
Hf 0.500 0.000 0.750
Hf 0.500 0.500 0.500

[5]
## Sr2CaCoH8 (PBE)

Data for a relaxed Sr2CaCoH8 crystal.

Summary:
For the theoretical density, the calculation gives 3.27 g cm⁻³. The calculation puts the total moment at 1.02 μB per formula unit. The value obtained for the calculated total energy is -43.6 eV/f.u.

abc: 5.027 5.027 6.557
angles: 90.00 90.00 120.00
Fractional coordinates of all 12 atoms:
Sr 0.333 0.667 0.334
Sr 0.667 0.333 0.666
Ca 0.000 0.000 0.000
Co 0.000 0.000 0.500
H 0.149 0.298 0.645
H 0.149 0.851 0.645
H 0.298 0.149 0.355
H 0.333 0.667 0.975
H 0.667 0.333 0.025
H 0.702 0.851 0.645
H 0.851 0.149 0.355
H 0.851 0.702 0.355

[6]
## Cs2SrRe3O12 (PBE)

Data for a relaxed Cs2SrRe3O12 crystal.

Summary:
For the theoretical density, the calculation gives 5.84 g cm⁻³. As for the raw formation energy: -1816 meV/atom. The calculation puts the total moment at 0.86 μB per formula unit.

abc: 7.801 7.801 7.801
angles: 57.18 57.18 57.18
Fractional coordinates of all 18 atoms:
Cs 0.121 0.121 0.121
Cs 0.879 0.879 0.879
Sr 0.500 0.500 0.500
Re 0.000 0.500 0.500
Re 0.500 0.000 0.500
Re 0.500 0.500 0.000
O 0.110 0.586 0.586
O 0.208 0.208 0.572
O 0.208 0.572 0.208
O 0.414 0.414 0.890
O 0.414 0.890 0.414
O 0.428 0.792 0.792
O 0.572 0.208 0.208
O 0.586 0.110 0.586
O 0.586 0.586 0.110
O 0.792 0.428 0.792
O 0.792 0.792 0.428
O 0.890 0.414 0.414

[7]
## Ac8Si3Te4As (PBE)

Data for a relaxed Ac8Si3Te4As crystal.

Summary:
For the theoretical density, the calculation gives 7.13 g cm⁻³. As for the raw formation energy: -1229 meV/atom. The calculation puts the total moment at 0.00 μB per formula unit.

abc: 9.434 9.434 9.434
angles: 58.91 58.91 58.91
Fractional coordinates of all 16 atoms:
Ac 0.237 0.742 0.742
Ac 0.241 0.241 0.241
Ac 0.258 0.258 0.763
Ac 0.258 0.763 0.258
Ac 0.742 0.237 0.742
Ac 0.742 0.742 0.237
Ac 0.759 0.759 0.759
Ac 0.763 0.258 0.258
Si 0.000 0.000 0.500
Si 0.000 0.500 0.000
Si 0.500 0.000 0.000
Te 0.000 0.000 0.000
Te 0.000 0.500 0.500
Te 0.500 0.000 0.500
Te 0.500 0.500 0.000
As 0.500 0.500 0.500

[8]
## CrAg3Au (PBE)

Data for a relaxed CrAg3Au crystal.

Summary:
The value obtained for the formation energy from the elements is 4.68 eV per formula unit. For the theoretical density, the calculation gives 7.06 g cm⁻³. The calculation puts the distance to the lowest polymorph of the same formula at 0 meV per atom. The calculation puts the total moment at 4.87 μB per formula unit.

abc: 5.126 5.126 5.126
angles: 90.00 90.00 90.00
Fractional coordinates of all 5 atoms:
Cr 0.000 0.000 0.000
Ag 0.000 0.500 0.500
Ag 0.500 0.000 0.500
Ag 0.500 0.500 0.000
Au 0.500 0.500 0.500